No. 1
# KInPb2

A geometry-optimized KInPb2 structure (PBE, Alexandria via LeMat-Bulk).

a = 5.1311 Å, b = 5.1311 Å, c = 9.6540 Å
α = 90.00°, β = 90.00°, γ = 90.00°
Space group I4/mmm (No. 139)
One atom of each set of equivalent atoms:
K 0.0000 0.0000 0.0000 [2 per cell]
In 0.0000 0.0000 0.5000 [2 per cell]
Pb 0.0000 0.5000 0.2500 [4 per cell]

***

No. 2
# MnNiBi3

A geometry-optimized MnNiBi3 structure (PBE, Alexandria via LeMat-Bulk).

a = 5.1659 Å, b = 5.1659 Å, c = 5.1659 Å
α = 90.00°, β = 90.00°, γ = 90.00°
Space group Pm-3m (No. 221)
One atom of each set of equivalent atoms:
Mn 0.0000 0.0000 0.0000 [1 per cell]
Ni 0.5000 0.5000 0.5000 [1 per cell]
Bi 0.0000 0.5000 0.5000 [3 per cell]

***

no.,calculated total energy (eV per atom),ΔH_f (0 K) (eV per atom)
1,-2.84,-0.02
2,-4.75,0.57